1.
Material: NaTlO
Method: DFT, PBE
State: relaxed

Structure (POSCAR):
```
NaTlO
1.0
6.008 -1.756 0.000
6.008 1.756 0.000
-2.180 0.000 5.688
Na Tl O
2 2 2
Cartesian
1.067 0.000 1.943
8.769 0.000 3.745
4.214 0.000 0.979
5.622 0.000 4.708
1.288 0.000 4.310
8.549 0.000 1.377
```

## Properties
space group	C2/m (12)
offset from the most stable computed form	10	meV per atom
ΔE_f (raw)	-0.955	eV/atom
calculated density	6.73	Mg/m³
size of the total moment	0.00	μB per formula unit

---

2.
Material: Na3Tl5O12
Method: DFT, PBE
State: relaxed

Structure (POSCAR):
```
Na3Tl5O12
1.0
-6.788 6.788 6.788
6.788 -6.788 6.788
6.788 6.788 -6.788
Na Tl O
12 20 48
Cartesian
3.394 1.697 0.000
6.788 3.394 -1.697
1.697 0.000 3.394
8.485 0.000 3.394
0.000 3.394 1.697
3.394 -1.697 6.788
3.394 8.485 0.000
6.788 3.394 5.091
-1.697 6.788 3.394
5.091 6.788 3.394
0.000 3.394 8.485
3.394 5.091 6.788
0.000 0.000 0.000
3.394 3.394 -3.394
3.394 -3.394 3.394
6.788 0.000 0.000
10.183 1.697 0.000
6.788 -3.394 5.091
5.091 6.788 -3.394
5.091 0.000 3.394
3.394 5.091 0.000
6.788 3.394 1.697
-3.394 3.394 3.394
0.000 6.788 0.000
0.000 0.000 6.788
3.394 3.394 3.394
0.000 3.394 5.091
3.394 1.697 6.788
1.697 6.788 3.394
1.697 0.000 10.183
0.000 10.183 1.697
-3.394 5.091 6.788
1.905 -0.595 1.136
8.278 4.531 -3.989
6.193 -1.136 1.905
10.778 -1.489 2.258
1.136 1.905 -0.595
9.046 2.799 -1.489
8.693 0.595 1.136
8.278 -2.258 3.989
4.531 3.989 -1.489
5.652 1.905 0.595
-0.595 1.136 1.905
3.989 -1.489 4.531
6.193 5.652 -1.905
3.989 1.489 2.258
5.652 -1.905 6.193
4.531 -3.989 8.278
1.905 6.193 -1.136
8.278 2.258 2.799
2.258 3.989 1.489
7.925 4.884 0.595
3.989 8.278 -2.258
6.193 1.136 4.884
1.489 2.258 3.989
1.905 0.595 5.652
4.884 6.193 1.136
5.299 4.531 2.799
0.595 5.652 1.905
2.799 -1.489 9.046
-1.136 1.905 6.193
4.531 2.799 5.299
-1.489 4.531 3.989
4.884 0.595 7.925
2.258 10.778 -1.489
1.136 8.693 0.595
2.799 5.299 4.531
0.595 1.136 8.693
2.799 8.278 2.258
7.384 5.652 4.884
1.136 4.884 6.193
2.258 2.799 8.278
-1.489 9.046 2.799
-1.905 6.193 5.652
-2.258 3.989 8.278
5.652 4.884 7.384
-3.989 8.278 4.531
0.595 7.925 4.884
-1.489 2.258 10.778
4.884 7.384 5.652
```

## Properties
space group	Ia-3d (230)
ΔE_f (raw)	-0.424	eV/atom
DOS at the Fermi energy	4.475	states/eV/cell
calculated density	6.81	Mg/m³
size of the total moment	6.00	μB per formula unit

---

Question: Among the records above, which one has the highest size of the total moment?
Answer: Na3Tl5O12

---

What did the first record say?
Material: NaTlO
Method: DFT, PBE
State: relaxed

Structure (POSCAR):
```
NaTlO
1.0
6.008 -1.756 0.000
6.008 1.756 0.000
-2.180 0.000 5.688
Na Tl O
2 2 2
Cartesian
1.067 0.000 1.943
8.769 0.000 3.745
4.214 0.000 0.979
5.622 0.000 4.708
1.288 0.000 4.310
8.549 0.000 1.377
```

## Properties
space group	C2/m (12)
offset from the most stable computed form	10	meV per atom
ΔE_f (raw)	-0.955	eV/atom
calculated density	6.73	Mg/m³
size of the total moment	0.00	μB per formula unit